# TaTiGe, relaxed, DFT PBE
data_TaTiGe
_symmetry_space_group_name_H-M 'P m m n'
_symmetry_Int_Tables_number 59
_cell_length_a 3.488
_cell_length_b 4.130
_cell_length_c 7.184
_cell_angle_alpha 90.00
_cell_angle_beta 90.00
_cell_angle_gamma 90.00
loop_
_symmetry_equiv_pos_as_xyz
'x,y,z'
'-x,-y,-z'
'-x+1/2,-y+1/2,z'
'x+1/2,y+1/2,-z'
'x+1/2,-y,-z'
'-x+1/2,y,z'
'-x,y+1/2,-z'
'x,-y+1/2,z'
loop_
_atom_site_label
_atom_site_type_symbol
_atom_site_fract_x
_atom_site_fract_y
_atom_site_fract_z
_atom_site_occupancy
Ta1 Ta 0.250 0.250 0.016 1
Ti1 Ti 0.250 0.750 0.648 1
Ge1 Ge 0.250 0.750 0.281 1
# Energy of formation in eV per atom: -0.44
# Theoretical density in g/cm3: 9.68

=====

# TaTi3Ge, relaxed, DFT PBE
data_TaTi3Ge
_symmetry_space_group_name_H-M 'P m -3 m'
_symmetry_Int_Tables_number 221
_symmetry_space_group_name_Hall '-P 4 2 3'
_cell_length_a 4.795
_cell_length_b 4.795
_cell_length_c 4.795
_cell_angle_alpha 90.00
_cell_angle_beta 90.00
_cell_angle_gamma 90.00
loop_
_atom_site_label
_atom_site_type_symbol
_atom_site_fract_x
_atom_site_fract_y
_atom_site_fract_z
_atom_site_occupancy
Ta1 Ta 0.000 0.000 0.000 1
Ti1 Ti 0.000 0.000 0.500 1
Ge1 Ge 0.500 0.500 0.500 1
# Energy of formation in eV per atom: 1.06
# Polymorph energy (0 for the lowest one) in eV per atom: 0.438
# Theoretical density in g/cm3: 5.98

=====

# Ta2TiGe2, relaxed, DFT PBE
data_Ta2TiGe2
_symmetry_space_group_name_H-M 'P 4/m b m'
_symmetry_Int_Tables_number 127
_symmetry_space_group_name_Hall '-P 4 2ab'
_cell_length_a 6.784
_cell_length_b 6.784
_cell_length_c 3.592
_cell_angle_alpha 90.00
_cell_angle_beta 90.00
_cell_angle_gamma 90.00
loop_
_atom_site_label
_atom_site_type_symbol
_atom_site_fract_x
_atom_site_fract_y
_atom_site_fract_z
_atom_site_occupancy
Ta1 Ta 0.168 0.332 0.000 1
Ti1 Ti 0.000 0.000 0.500 1
Ge1 Ge 0.134 0.634 0.500 1
# Energy of formation in eV per atom: -0.42
# Theoretical density in g/cm3: 11.15

=====

no.,DFT total energy (eV/atom)
1,-8.559
2,-6.968
3,-8.588